# 1
Density functional theory data (GGA-PBE) for HOsPd2 after structural relaxation.

extended XYZ file:
```
4
Lattice="2.715 0.000 0.000 1.357 2.351 0.000 1.357 0.784 7.778" Properties=species:S:1:pos:R:3 pbc="T T T"
Pd 1.357 0.784 5.170
Os 0.000 0.000 0.000
H 2.715 1.567 3.889
Pd 4.072 2.351 2.608
```

Output
For the offset from the most stable computed form, the calculation gives 0.000 eV per atom. For the size of the total moment, the calculation gives 0.0 μB per cell.



# 2
Density functional theory data (GGA-PBE) for Pr3Dy12Er after structural relaxation.

extended XYZ file:
```
16
Lattice="-2.726 -1.781 3.861 3.002 -4.054 0.250 12.045 9.719 12.986" Properties=species:S:1:pos:R:3 pbc="T T T"
Dy 3.126 -0.506 5.277
Pr 6.022 4.859 6.493
Dy 2.977 -0.836 1.716
Dy 3.144 2.746 6.790
Dy 6.175 5.192 10.057
Dy 9.206 7.638 13.325
Dy 12.070 6.501 11.520
Dy 0.138 -2.918 2.055
Dy 9.194 4.390 11.819
Pr 2.998 2.419 3.233
Dy 9.039 4.055 8.252
Er 0.000 0.000 0.000
Dy 6.008 1.610 4.984
Pr 9.046 7.300 9.753
Dy 0.113 0.300 3.522
Dy 6.160 1.942 8.548
```

Output
For the size of the total moment, the calculation gives 0.0 μB per cell. The formation energy is 21.6 meV per atom.